Record 1
DFT (SCAN) results for LaAsPt2 at its PBEsol-relaxed geometry.

Lattice parameters (Å, degrees): 4.031 4.118 5.335 90.00 90.00 90.00
Space group Pmmm (No. 47)
Inequivalent atoms, fractional coordinates:
La 0.000 0.000 0.000 x1
As 0.500 0.000 0.500 x1
Pt 0.500 0.500 0.245 x2

Values from the calculation:
* N(E_F): 1.76 states/eV per cell
* total DFT energy (no corrections): -208.05 eV for the cell shown
* spin magnetization: 0.00 μB per formula unit

***

Record 2
DFT (SCAN) results for LaAsPt2 at its PBEsol-relaxed geometry.

Lattice parameters (Å, degrees): 3.689 3.689 5.858 90.00 90.00 90.00
Space group P4/mmm (No. 123)
Inequivalent atoms, fractional coordinates:
La 0.000 0.000 0.000 x1
As 0.000 0.000 0.500 x1
Pt 0.500 0.500 0.273 x2

Values from the calculation:
* N(E_F): 2.43 states/eV per cell
* total DFT energy (no corrections): -206.16 eV for the cell shown
* spin magnetization: 0.00 μB per formula unit